An optimized crystal structure of NaYZr. Source: Alexandria via LeMat-Bulk, functional PBE-GGA.

The total magnetization comes out at 0.00 μB per cell. Its relative energy among the computed polymorphs is 98 meV per atom. The value obtained for the total energy is -5.25 eV per atom.

CIF file:
```
data_NaYZr
_space_group_name_H-M_alt 'P 1'
_space_group_IT_number 1
_space_group_name_Hall 'P 1'
_cell_length_a 3.3370
_cell_length_b 5.6488
_cell_length_c 10.0660
_cell_angle_alpha 80.38
_cell_angle_beta 80.68
_cell_angle_gamma 73.01
loop_
_atom_site_label
_atom_site_type_symbol
_atom_site_fract_x
_atom_site_fract_y
_atom_site_fract_z
Na1 Na 0.1699 0.2492 0.4114
Na2 Na 0.8301 0.7508 0.5886
Y1 Y 0.4861 0.2437 0.7804
Y2 Y 0.5139 0.7563 0.2196
Zr1 Zr 0.1557 0.7413 0.9459
Zr2 Zr 0.8443 0.2587 0.0541
```